No. 1
VASP calculation (meta-GGA SCAN) on a crystal of LiCaAl relaxed with PBEsol.

Structure (POSCAR):
```
LiCaAl
1.0
4.939 0.000 0.000
-2.470 4.278 0.000
0.000 0.000 3.307
Li Ca Al
1 1 1
Cartesian
0.000 0.000 0.000
2.470 1.426 1.654
0.000 2.852 0.000
```

ΔE_f, eV/atom: -0.097
Energy above the most stable polymorph in this dataset, meV/atom: 0.0
E_tot, eV/atom: -6.698
Density, g/cm3: 1.8
Crystal system: hexagonal

No. 2
VASP calculation (meta-GGA SCAN) on a crystal of LiCa2Al relaxed with PBEsol.

Structure (POSCAR):
```
LiCa2Al
1.0
3.743 0.000 0.000
0.000 5.337 0.000
0.000 0.000 5.339
Li Ca Al
1 2 1
Cartesian
0.000 0.000 0.000
1.871 0.000 2.664
1.871 2.669 5.328
0.000 2.669 2.657
```

ΔE_f, eV/atom: -0.110
E_tot, eV/atom: -7.477
Density, g/cm3: 1.8
Crystal system: orthorhombic

No. 3
VASP calculation (meta-GGA SCAN) on a crystal of Li4CaAl relaxed with PBEsol.

Structure (POSCAR):
```
Li4CaAl
1.0
0.000 3.881 3.881
3.881 0.000 3.881
3.881 3.881 0.000
Li Ca Al
4 1 1
Cartesian
2.930 2.930 2.930
4.833 4.833 2.930
4.833 2.930 4.833
2.930 4.833 4.833
0.000 0.000 0.000
5.822 5.822 5.822
```

ΔE_f, eV/atom: -0.052
E_tot, eV/atom: -4.548
Density, g/cm3: 1.3
Crystal system: cubic

No. 4
VASP calculation (meta-GGA SCAN) on a crystal of LiCaAl relaxed with PBEsol.

Structure (POSCAR):
```
LiCaAl
1.0
0.000 3.366 3.366
3.366 0.000 3.366
3.366 3.366 0.000
Li Ca Al
1 1 1
Cartesian
0.000 0.000 0.000
1.683 1.683 1.683
5.049 5.049 5.049
```

ΔE_f, eV/atom: 0.184
Energy above the most stable polymorph in this dataset, meV/atom: 280.5
E_tot, eV/atom: -6.418
Density, g/cm3: 1.6
Crystal system: cubic

No. 5
VASP calculation (meta-GGA SCAN) on a crystal of LiCa2Al relaxed with PBEsol.

Structure (POSCAR):
```
LiCa2Al
1.0
1.809 1.045 10.528
-1.809 1.045 10.528
0.000 -2.089 10.528
Li Ca Al
1 2 1
Cartesian
0.000 0.000 0.000
0.000 0.000 7.630
0.000 0.000 23.955
0.000 0.000 15.792
```

ΔE_f, eV/atom: 0.078
E_tot, eV/atom: -7.289
Density, g/cm3: 1.6
Crystal system: trigonal

No. 6
VASP calculation (meta-GGA SCAN) on a crystal of LiCa2Al2 relaxed with PBEsol.

Structure (POSCAR):
```
LiCa2Al2
1.0
8.510 0.000 0.000
0.000 8.510 0.000
0.000 0.000 3.663
Li Ca Al
2 4 4
Cartesian
0.000 0.000 0.000
4.255 4.255 0.000
1.554 2.701 1.831
2.701 6.956 1.831
5.809 1.554 1.831
6.956 5.809 1.831
0.946 5.201 0.000
3.309 0.946 0.000
5.201 7.564 0.000
7.564 3.309 0.000
```

ΔE_f, eV/atom: -0.101
E_tot, eV/atom: -7.545
Density, g/cm3: 1.8
Crystal system: tetragonal

No. 7
VASP calculation (meta-GGA SCAN) on a crystal of Ca2MgAl relaxed with PBEsol.

Structure (POSCAR):
```
Ca2MgAl
1.0
3.735 0.000 0.000
0.000 5.376 0.000
0.000 0.000 5.377
Ca Mg Al
2 1 1
Cartesian
0.000 0.000 0.000
0.000 2.688 2.653
1.868 2.688 5.326
1.868 0.000 2.697
```

ΔE_f, eV/atom: -0.143
E_tot, eV/atom: -8.157
Density, g/cm3: 2.0
Crystal system: orthorhombic

No. 8
VASP calculation (meta-GGA SCAN) on a crystal of CaMgAl2 relaxed with PBEsol.

Structure (POSCAR):
```
CaMgAl2
1.0
1.643 0.949 9.713
-1.643 0.949 9.713
0.000 -1.897 9.713
Ca Mg Al
1 1 2
Cartesian
0.000 0.000 0.000
0.000 0.000 14.569
0.000 0.000 7.157
0.000 0.000 21.981
```

ΔE_f, eV/atom: 0.128
E_tot, eV/atom: -7.407
Density, g/cm3: 2.2
Crystal system: trigonal